(one)
The following is a DFT calculation (PBEsol) of a relaxed structure of LaRePt2.

The structure in CIF format:
```
data_LaRePt2
_chemical_formula_sum 'La1 Re1 Pt2'
_cell_length_a 2.848
_cell_length_b 2.848
_cell_length_c 8.633
_cell_angle_alpha 90.00
_cell_angle_beta 90.00
_cell_angle_gamma 90.00
_space_group_name_H-M_alt 'P 4/m m m'
_space_group_IT_number 123
_space_group_name_Hall '-P 4 2'
loop_
_atom_site_label
_atom_site_fract_x
_atom_site_fract_y
_atom_site_fract_z
La1 0.000 0.000 0.000
Re1 0.000 0.000 0.500
Pt1 0.500 0.500 0.289
```

Calculated volume, Å³/cell: 70.0

(two)
The following is a DFT calculation (PBEsol) of a relaxed structure of LaRePt2.

The structure in CIF format:
```
data_LaRePt2
_chemical_formula_sum 'La2 Re2 Pt4'
_cell_length_a 9.477
_cell_length_b 2.896
_cell_length_c 5.484
_cell_angle_alpha 90.00
_cell_angle_beta 100.48
_cell_angle_gamma 90.00
_space_group_name_H-M_alt 'C 1 m 1'
_space_group_IT_number 8
loop_
_space_group_symop_operation_xyz
'x,y,z'
'x,-y,z'
'x+1/2,y+1/2,z'
'x+1/2,-y+1/2,z'
loop_
_atom_site_label
_atom_site_fract_x
_atom_site_fract_y
_atom_site_fract_z
La1 0.000 0.000 0.000
Re1 0.254 0.500 0.343
Pt1 0.236 0.000 0.737
Pt2 0.490 0.000 0.475
```

Calculated volume, Å³/cell: 148.0

Of them, (one) has the highest stability.

(one)
The following is a DFT calculation (PBEsol) of a relaxed structure of La2ScPt.

The structure in CIF format:
```
data_La2ScPt
_chemical_formula_sum 'La2 Sc1 Pt1'
_cell_length_a 3.477
_cell_length_b 3.477
_cell_length_c 8.517
_cell_angle_alpha 90.00
_cell_angle_beta 90.00
_cell_angle_gamma 90.00
_space_group_name_H-M_alt 'P 4 m m'
_space_group_IT_number 99
loop_
_space_group_symop_operation_xyz
'x,y,z'
'-y,x,z'
'-x,-y,z'
'y,-x,z'
'-x,y,z'
'y,x,z'
'x,-y,z'
'-y,-x,z'
loop_
_atom_site_label
_atom_site_fract_x
_atom_site_fract_y
_atom_site_fract_z
La1 0.000 0.000 0.000
La2 0.500 0.500 0.328
Sc1 0.500 0.500 0.708
Pt1 0.000 0.000 0.559
```

Calculated volume, Å³/cell: 103.0

(two)
The following is a DFT calculation (PBEsol) of a relaxed structure of La2ScPt.

The structure in CIF format:
```
data_La2ScPt
_chemical_formula_sum 'La2 Sc1 Pt1'
_cell_length_a 3.755
_cell_length_b 3.755
_cell_length_c 7.426
_cell_angle_alpha 90.00
_cell_angle_beta 90.00
_cell_angle_gamma 90.00
_space_group_name_H-M_alt 'P 4/m m m'
_space_group_IT_number 123
_space_group_name_Hall '-P 4 2'
loop_
_atom_site_label
_atom_site_fract_x
_atom_site_fract_y
_atom_site_fract_z
La1 0.000 0.000 0.217
Sc1 0.500 0.500 0.500
Pt1 0.500 0.500 0.000
```

Calculated volume, Å³/cell: 104.7

Of them, (one) has the highest stability.

(one)
The following is a DFT calculation (PBEsol) of a relaxed structure of SrLaPt.

The structure in CIF format:
```
data_SrLaPt
_chemical_formula_sum 'Sr2 La2 Pt2'
_cell_length_a 4.387
_cell_length_b 5.741
_cell_length_c 8.420
_cell_angle_alpha 90.00
_cell_angle_beta 90.00
_cell_angle_gamma 90.00
_space_group_name_H-M_alt 'P m m n'
_space_group_IT_number 59
loop_
_space_group_symop_operation_xyz
'x,y,z'
'-x,-y,-z'
'-x+1/2,-y+1/2,z'
'x+1/2,y+1/2,-z'
'x+1/2,-y,-z'
'-x+1/2,y,z'
'-x,y+1/2,-z'
'x,-y+1/2,z'
loop_
_atom_site_label
_atom_site_fract_x
_atom_site_fract_y
_atom_site_fract_z
Sr1 0.250 0.250 0.125
La1 0.250 0.250 0.595
Pt1 0.250 0.750 0.633
```

Calculated volume, Å³/cell: 212.1

(two)
The following is a DFT calculation (PBEsol) of a relaxed structure of SrLaPt.

The structure in CIF format:
```
data_SrLaPt
_chemical_formula_sum 'Sr1 La1 Pt1'
_cell_length_a 4.2542
_cell_length_b 4.2542
_cell_length_c 6.8914
_cell_angle_alpha 90.00
_cell_angle_beta 90.00
_cell_angle_gamma 120.00
_space_group_name_H-M_alt 'P 3 m 1'
_space_group_IT_number 156
loop_
_space_group_symop_operation_xyz
'x,y,z'
'-y,x-y,z'
'-x+y,-x,z'
'-y,-x,z'
'-x+y,y,z'
'x,x-y,z'
loop_
_atom_site_label
_atom_site_fract_x
_atom_site_fract_y
_atom_site_fract_z
Sr1 0.0000 0.0000 0.0000
La1 0.3333 0.6667 0.4636
Pt1 0.6667 0.3333 0.2600
```

Calculated volume, Å³/cell: 108.0

Of them, (one) has the highest stability.

(one)
The following is a DFT calculation (PBEsol) of a relaxed structure of LaTe2Pt.

The structure in CIF format:
```
data_LaTe2Pt
_chemical_formula_sum 'La2 Te4 Pt2'
_cell_length_a 4.138
_cell_length_b 4.238
_cell_length_c 12.955
_cell_angle_alpha 90.00
_cell_angle_beta 90.00
_cell_angle_gamma 90.00
_space_group_name_H-M_alt 'A m m 2'
_space_group_IT_number 38
loop_
_space_group_symop_operation_xyz
'x,y,z'
'-x,-y,z'
'-x,y,z'
'x,-y,z'
'x,y+1/2,z+1/2'
'-x,-y+1/2,z+1/2'
'-x,y+1/2,z+1/2'
'x,-y+1/2,z+1/2'
loop_
_atom_site_label
_atom_site_fract_x
_atom_site_fract_y
_atom_site_fract_z
La1 0.000 0.000 0.000
Te1 0.000 0.000 0.713
Te2 0.500 0.000 0.390
Pt1 0.500 0.000 0.592
```

Calculated volume, Å³/cell: 227.2

(two)
The following is a DFT calculation (PBEsol) of a relaxed structure of LaTe2Pt.

The structure in CIF format:
```
data_LaTe2Pt
_chemical_formula_sum 'La1 Te2 Pt1'
_cell_length_a 3.846
_cell_length_b 3.846
_cell_length_c 6.618
_cell_angle_alpha 90.00
_cell_angle_beta 90.00
_cell_angle_gamma 90.00
_space_group_name_H-M_alt 'P 4/m m m'
_space_group_IT_number 123
_space_group_name_Hall '-P 4 2'
loop_
_atom_site_label
_atom_site_fract_x
_atom_site_fract_y
_atom_site_fract_z
La1 0.000 0.000 0.000
Te1 0.500 0.500 0.273
Pt1 0.000 0.000 0.500
```

Calculated volume, Å³/cell: 97.9

Of them, (one) has the highest stability.

(one)
The following is a DFT calculation (PBEsol) of a relaxed structure of LaPtW2.

The structure in CIF format:
```
data_LaPtW2
_chemical_formula_sum 'La2 Pt2 W4'
_cell_length_a 3.351
_cell_length_b 4.651
_cell_length_c 9.318
_cell_angle_alpha 90.00
_cell_angle_beta 90.00
_cell_angle_gamma 90.00
_space_group_name_H-M_alt 'C m m 2'
_space_group_IT_number 35
loop_
_space_group_symop_operation_xyz
'x,y,z'
'-x,-y,z'
'-x,y,z'
'x,-y,z'
'x+1/2,y+1/2,z'
'-x+1/2,-y+1/2,z'
'-x+1/2,y+1/2,z'
'x+1/2,-y+1/2,z'
loop_
_atom_site_label
_atom_site_fract_x
_atom_site_fract_y
_atom_site_fract_z
La1 0.000 0.000 0.000
Pt1 0.000 0.500 0.726
W1 0.000 0.000 0.506
W2 0.000 0.500 0.288
```

Calculated volume, Å³/cell: 145.2

(two)
The following is a DFT calculation (PBEsol) of a relaxed structure of LaPtW2.

The structure in CIF format:
```
data_LaPtW2
_chemical_formula_sum 'La3 Pt3 W6'
_cell_length_a 2.8710
_cell_length_b 2.8710
_cell_length_c 30.4860
_cell_angle_alpha 90.00
_cell_angle_beta 90.00
_cell_angle_gamma 120.00
_space_group_name_H-M_alt 'R 3 m'
_space_group_IT_number 160
_space_group_name_Hall 'R 3 -2"'
loop_
_atom_site_label
_atom_site_fract_x
_atom_site_fract_y
_atom_site_fract_z
La1 0.0000 0.0000 0.0000
Pt1 0.0000 0.0000 0.7577
W1 0.0000 0.0000 0.2383
W2 0.0000 0.0000 0.4945
```

Calculated volume, Å³/cell: 217.6

Of them, (one) has the highest stability.

(one)
The following is a DFT calculation (PBEsol) of a relaxed structure of LaY2Pt.

The structure in CIF format:
```
data_LaY2Pt
_chemical_formula_sum 'La2 Y4 Pt2'
_cell_length_a 4.365
_cell_length_b 4.365
_cell_length_c 10.327
_cell_angle_alpha 90.00
_cell_angle_beta 90.00
_cell_angle_gamma 90.00
_space_group_name_H-M_alt 'I -4 m 2'
_space_group_IT_number 119
_space_group_name_Hall 'I -4 -2'
loop_
_atom_site_label
_atom_site_fract_x
_atom_site_fract_y
_atom_site_fract_z
La1 0.000 0.000 0.000
Y1 0.000 0.000 0.500
Y2 0.000 0.500 0.750
Pt1 0.000 0.500 0.250
```

Calculated volume, Å³/cell: 196.8

(two)
The following is a DFT calculation (PBEsol) of a relaxed structure of LaY2Pt.

The structure in CIF format:
```
data_LaY2Pt
_chemical_formula_sum 'La2 Y4 Pt2'
_cell_length_a 3.624
_cell_length_b 5.359
_cell_length_c 11.252
_cell_angle_alpha 90.00
_cell_angle_beta 90.00
_cell_angle_gamma 90.00
_space_group_name_H-M_alt 'I m m m'
_space_group_IT_number 71
_space_group_name_Hall '-I 2 2'
loop_
_atom_site_label
_atom_site_fract_x
_atom_site_fract_y
_atom_site_fract_z
La1 0.000 0.000 0.000
Y1 0.000 0.500 0.197
Pt1 0.000 0.000 0.500
```

Calculated volume, Å³/cell: 218.5

Of them, (two) has the highest stability.